## Nd2SeI2 (PBE)

Data for a geometry-optimized Nd2SeI2 structure.

E_form (uncorrected) = -153.3 kJ per mole of atoms
Total energy = -0.354 Ry per atom

Cell lengths 7.498, 4.329, 12.221 Å; angles 90.00, 103.10, 90.00 degrees
Space group C2/m (No. 12)
Symmetry-distinct sites (fractional):
Nd  0.215  0.000  0.130 x4
Se  0.000  0.500  0.000 x2
I  0.054  0.000  0.696 x4